DFT (PBE) results for an optimized crystal structure of LiLaEu.

Geometry as extended XYZ:
```
3
Lattice="-1.949 1.949 6.605 1.949 -1.949 6.605 1.949 1.949 -6.605" Properties=species:S:1:pos:R:3 pbc="T T T"
Li 0.000 0.000 0.000
La 0.000 0.000 8.588
Eu 0.000 0.000 4.595
```

Results
* M_tot: 8.36 Bohr magnetons per cell
* energy: -5.61 eV/atom
* relative energy among the computed polymorphs: 0.000 eV/atom
* formation energy: 0.0994 eV/atom

DFT (PBE) results for an optimized crystal structure of RbCdAuSe2.

Geometry as extended XYZ:
```
10
Lattice="7.420 0.000 0.000 0.000 6.102 0.000 -2.160 0.000 7.031" Properties=species:S:1:pos:R:3 pbc="T T T"
Rb -0.540 1.260 1.758
Rb -1.620 4.842 5.273
Cd 2.090 3.022 5.273
Cd 3.170 3.079 1.758
Au 3.710 0.000 0.000
Au 2.630 0.000 3.516
Se -0.016 1.829 6.571
Se 1.064 4.273 3.055
Se 4.196 1.829 3.976
Se 5.277 4.273 0.460
```

Results
* M_tot: 0.00 Bohr magnetons per cell
* energy: -3.12 eV/atom
* formation energy from raw total energies: -0.697 eV/atom

DFT (PBE) results for an optimized crystal structure of HgH.

Geometry as extended XYZ:
```
8
Lattice="0.000 2.975 17.932 1.679 0.000 17.932 1.679 2.975 0.000" Properties=species:S:1:pos:R:3 pbc="T T T"
Hg 1.260 2.231 1.494
Hg 2.099 3.719 10.460
Hg 1.260 2.231 25.404
Hg 2.099 3.719 34.370
H 1.636 2.231 13.449
H 0.884 2.231 13.449
H 2.475 3.719 22.415
H 1.723 3.719 22.415
```

Results
* M_tot: 0.00 Bohr magnetons per cell
* energy: -1.81 eV/atom
* relative energy among the computed polymorphs: 0.000 eV/atom

DFT (PBE) results for an optimized crystal structure of NdBi2Ir.

Geometry as extended XYZ:
```
4
Lattice="1.847 1.066 10.128 -1.847 1.066 10.128 0.000 -2.133 10.128" Properties=species:S:1:pos:R:3 pbc="T T T"
Nd 0.000 0.000 0.000
Bi 0.000 0.000 3.287
Bi 0.000 0.000 27.098
Ir 0.000 0.000 15.193
```

Results
* M_tot: 0.00 Bohr magnetons per cell
* energy: -5.21 eV/atom
* formation energy: 0.1386 eV/atom